[1]
Li2NbV3O8 | meta-GGA SCAN | PBEsol geometry

Results
SG = R-3m, No. 166
Energy relative to the lowest polymorph listed for this composition = 43 meV per atom
Raw formation energy = -2.614 eV per atom
Crystal system = trigonal

Cell and atoms, written as POSCAR:
```
Li2NbV3O8
1.0
2.906 1.678 4.879
-2.906 1.678 4.879
0.000 -3.356 4.879
Li Nb V O
2 1 3 8
Direct
0.127 0.127 0.127
0.873 0.873 0.873
0.500 0.500 0.500
0.000 0.500 0.500
0.500 0.000 0.500
0.500 0.500 0.000
0.255 0.255 0.726
0.255 0.726 0.255
0.262 0.262 0.262
0.274 0.745 0.745
0.726 0.255 0.255
0.738 0.738 0.738
0.745 0.274 0.745
0.745 0.745 0.274
```

***

[2]
Li3NbV3O8 | meta-GGA SCAN | PBEsol geometry

Results
SG = R-3m, No. 166
Raw formation energy = -2.455 eV per atom
Crystal system = trigonal

Cell and atoms, written as POSCAR:
```
Li3NbV3O8
1.0
2.830 1.634 5.025
-2.830 1.634 5.025
0.000 -3.268 5.025
Li Nb V O
3 1 3 8
Direct
0.000 0.500 0.500
0.500 0.000 0.500
0.500 0.500 0.000
0.500 0.500 0.500
0.000 0.000 0.500
0.000 0.500 0.000
0.500 0.000 0.000
0.239 0.749 0.749
0.244 0.244 0.244
0.251 0.251 0.761
0.251 0.761 0.251
0.749 0.239 0.749
0.749 0.749 0.239
0.756 0.756 0.756
0.761 0.251 0.251
```

***

[3]
Li3NbV2O6 | meta-GGA SCAN | PBEsol geometry

Results
SG = P-1, No. 2
Energy relative to the lowest polymorph listed for this composition = 0 meV per atom
Raw formation energy = -2.471 eV per atom
Crystal system = triclinic

Cell and atoms, written as POSCAR:
```
Li3NbV2O6
1.0
5.628 0.000 0.000
1.380 6.475 0.000
2.714 1.854 5.802
Li Nb V O
6 2 4 12
Direct
0.000 0.000 0.000
0.172 0.665 0.334
0.314 0.348 0.684
0.500 0.000 0.000
0.686 0.652 0.316
0.828 0.335 0.666
0.271 0.010 0.494
0.729 0.990 0.506
0.122 0.342 0.163
0.452 0.680 0.819
0.548 0.320 0.181
0.878 0.658 0.837
0.060 0.646 0.062
0.118 0.021 0.248
0.197 0.345 0.431
0.268 0.671 0.613
0.357 0.002 0.778
0.462 0.343 0.918
0.538 0.657 0.082
0.643 0.998 0.222
0.732 0.329 0.387
0.803 0.655 0.569
0.882 0.979 0.752
0.940 0.354 0.938
```

***

[4]
Li2NbV3O8 | meta-GGA SCAN | PBEsol geometry

Results
SG = P6_3mc, No. 186
Energy relative to the lowest polymorph listed for this composition = 0 meV per atom
Raw formation energy = -2.657 eV per atom
Crystal system = hexagonal

Cell and atoms, written as POSCAR:
```
Li2NbV3O8
1.0
5.789 0.000 0.000
-2.894 5.013 0.000
0.000 0.000 9.700
Li Nb V O
4 2 6 16
Direct
0.000 0.000 0.000
0.000 0.000 0.500
0.333 0.667 0.095
0.667 0.333 0.595
0.333 0.667 0.500
0.667 0.333 0.000
0.176 0.351 0.776
0.176 0.824 0.776
0.351 0.176 0.276
0.649 0.824 0.776
0.824 0.176 0.276
0.824 0.649 0.276
0.000 0.000 0.188
0.000 0.000 0.688
0.030 0.515 0.649
0.166 0.332 0.393
0.166 0.834 0.393
0.332 0.166 0.893
0.333 0.667 0.894
0.485 0.515 0.649
0.485 0.970 0.649
0.515 0.030 0.149
0.515 0.485 0.149
0.667 0.333 0.394
0.668 0.834 0.393
0.834 0.166 0.893
0.834 0.668 0.893
0.970 0.485 0.149
```

***

[5]
Li3Nb2VO6 | meta-GGA SCAN | PBEsol geometry

Results
SG = C2/m, No. 12
Raw formation energy = -2.460 eV per atom
Crystal system = monoclinic

Cell and atoms, written as POSCAR:
```
Li3Nb2VO6
1.0
6.738 -1.431 0.000
6.738 1.431 0.000
-1.737 0.000 5.850
Li Nb V O
3 2 1 6
Direct
0.000 0.000 0.000
0.343 0.343 0.661
0.657 0.657 0.339
0.324 0.324 0.147
0.676 0.676 0.853
0.000 0.000 0.500
0.156 0.156 0.101
0.158 0.158 0.585
0.491 0.491 0.264
0.509 0.509 0.736
0.842 0.842 0.415
0.844 0.844 0.899
```

***

[6]
Li3Nb4ZnO12 | meta-GGA SCAN | PBEsol geometry

Results
SG = P1, No. 1
Raw formation energy = -2.549 eV per atom
Crystal system = triclinic

Cell and atoms, written as POSCAR:
```
Li3Nb4ZnO12
1.0
5.187 0.000 0.000
0.004 5.542 0.000
0.015 0.682 7.562
Li Nb Zn O
3 4 1 12
Direct
0.000 0.000 0.000
0.000 0.005 0.504
0.501 0.519 0.507
0.002 0.434 0.224
0.497 0.952 0.715
0.503 0.935 0.220
0.998 0.446 0.715
0.501 0.508 0.998
0.129 0.419 0.465
0.179 0.111 0.770
0.200 0.732 0.144
0.315 0.242 0.139
0.323 0.607 0.773
0.374 0.918 0.464
0.625 0.914 0.963
0.686 0.612 0.272
0.693 0.240 0.646
0.805 0.737 0.644
0.823 0.111 0.269
0.868 0.422 0.964
```

***

[7]
LiNbP2S | meta-GGA SCAN | PBEsol geometry

Results
SG = P4/mmm, No. 123
Raw formation energy = -0.130 eV per atom
Crystal system = tetragonal

Cell and atoms, written as POSCAR:
```
LiNbP2S
1.0
4.807 0.000 0.000
0.000 4.807 0.000
0.000 0.000 4.791
Li Nb P S
1 1 2 1
Direct
0.000 0.000 0.000
0.500 0.500 0.500
0.000 0.500 0.500
0.500 0.000 0.500
0.500 0.500 0.000
```

***

[8]
LiNbPb3 | meta-GGA SCAN | PBEsol geometry

Results
SG = Pm-3m, No. 221
ΔH_f (0 K) = 0.215 eV/atom
Crystal system = cubic

Cell and atoms, written as POSCAR:
```
LiNbPb3
1.0
5.477 0.000 0.000
0.000 5.477 0.000
0.000 0.000 5.477
Li Nb Pb
1 1 3
Direct
0.000 0.000 0.000
0.500 0.500 0.500
0.000 0.500 0.500
0.500 0.000 0.500
0.500 0.500 0.000
```

***

[9]
LiNbRhPb2 | meta-GGA SCAN | PBEsol geometry

Results
SG = P4/mmm, No. 123
ΔH_f (0 K) = 0.514 eV/atom
Crystal system = tetragonal

Cell and atoms, written as POSCAR:
```
LiNbRhPb2
1.0
5.482 0.000 0.000
0.000 5.482 0.000
0.000 0.000 4.661
Li Nb Rh Pb
1 1 1 2
Direct
0.000 0.000 0.000
0.500 0.500 0.500
0.500 0.500 0.000
0.000 0.500 0.500
0.500 0.000 0.500
```

***

[10]
Sr2LiNbPb | meta-GGA SCAN | PBEsol geometry

Results
SG = P4/mmm, No. 123
ΔH_f (0 K) = 0.747 eV/atom
Crystal system = tetragonal

Cell and atoms, written as POSCAR:
```
Sr2LiNbPb
1.0
6.039 0.000 0.000
0.000 6.039 0.000
0.000 0.000 5.018
Sr Li Nb Pb
2 1 1 1
Direct
0.000 0.500 0.000
0.500 0.000 0.000
0.000 0.000 0.500
0.000 0.000 0.000
0.500 0.500 0.500
```

***

[11]
SrLi2NbPd | meta-GGA SCAN | PBEsol geometry

Results
SG = P4/mmm, No. 123
ΔH_f (0 K) = 1.212 eV/atom
Crystal system = tetragonal

Cell and atoms, written as POSCAR:
```
SrLi2NbPd
1.0
4.630 0.000 0.000
0.000 4.630 0.000
0.000 0.000 5.013
Sr Li Nb Pd
1 2 1 1
Direct
0.000 0.000 0.000
0.000 0.500 0.000
0.500 0.000 0.000
0.500 0.500 0.500
0.000 0.000 0.500
```

***

[12]
LiNb2TlPt | meta-GGA SCAN | PBEsol geometry

Results
SG = P4/mmm, No. 123
ΔH_f (0 K) = 0.464 eV/atom
Crystal system = tetragonal

Cell and atoms, written as POSCAR:
```
LiNb2TlPt
1.0
4.904 0.000 0.000
0.000 4.904 0.000
0.000 0.000 4.431
Li Nb Tl Pt
1 2 1 1
Direct
0.000 0.000 0.000
0.000 0.500 0.500
0.500 0.000 0.500
0.500 0.500 0.000
0.000 0.000 0.500
```

***

[13]
Rb2LiNb | meta-GGA SCAN | PBEsol geometry

Results
SG = Fm-3m, No. 225
ΔH_f (0 K) = 1.108 eV/atom
Crystal system = cubic

Cell and atoms, written as POSCAR:
```
Rb2LiNb
1.0
0.000 4.396 4.396
4.396 0.000 4.396
4.396 4.396 0.000
Rb Li Nb
2 1 1
Direct
0.250 0.250 0.250
0.750 0.750 0.750
0.000 0.000 0.000
0.500 0.500 0.500
```

***

[14]
Rb2LiNbS4 | meta-GGA SCAN | PBEsol geometry

Results
SG = P-1, No. 2
Raw formation energy = -1.415 eV per atom
Crystal system = triclinic

Cell and atoms, written as POSCAR:
```
Rb2LiNbS4
1.0
6.969 0.000 0.000
1.113 11.282 0.000
0.371 3.722 11.262
Rb Li Nb S
8 4 4 16
Direct
0.184 0.096 0.253
0.240 0.625 0.723
0.249 0.651 0.350
0.255 0.155 0.859
0.745 0.845 0.141
0.751 0.349 0.650
0.760 0.375 0.277
0.816 0.904 0.747
0.265 0.475 0.069
0.320 0.990 0.584
0.680 0.010 0.416
0.735 0.525 0.931
0.274 0.274 0.485
0.277 0.769 0.985
0.723 0.231 0.015
0.726 0.726 0.515
0.018 0.660 0.990
0.037 0.143 0.531
0.228 0.895 0.100
0.248 0.402 0.599
0.258 0.382 0.288
0.330 0.886 0.794
0.443 0.853 0.469
0.471 0.376 0.939
0.529 0.624 0.061
0.557 0.147 0.531
0.670 0.114 0.206
0.742 0.618 0.712
0.752 0.598 0.401
0.772 0.105 0.900
0.963 0.857 0.469
0.982 0.340 0.010
```

***

[15]
LiNb2ReRh | meta-GGA SCAN | PBEsol geometry

Results
SG = P4/mmm, No. 123
ΔH_f (0 K) = 1.229 eV/atom
Crystal system = tetragonal

Cell and atoms, written as POSCAR:
```
LiNb2ReRh
1.0
4.727 0.000 0.000
0.000 4.727 0.000
0.000 0.000 4.371
Li Nb Re Rh
1 2 1 1
Direct
0.000 0.000 0.000
0.000 0.500 0.500
0.500 0.000 0.500
0.000 0.000 0.500
0.500 0.500 0.000
```

***

[16]
LiNbRe2Tc | meta-GGA SCAN | PBEsol geometry

Results
SG = P4/mmm, No. 123
ΔH_f (0 K) = 1.455 eV/atom
Crystal system = tetragonal

Cell and atoms, written as POSCAR:
```
LiNbRe2Tc
1.0
4.597 0.000 0.000
0.000 4.597 0.000
0.000 0.000 4.116
Li Nb Re Tc
1 1 2 1
Direct
0.000 0.000 0.000
0.500 0.500 0.000
0.000 0.500 0.500
0.500 0.000 0.500
0.000 0.000 0.500
```

***

[17]
Li2NbRh | meta-GGA SCAN | PBEsol geometry

Results
SG = Fm-3m, No. 225
ΔH_f (0 K) = 0.278 eV/atom
Crystal system = cubic

Cell and atoms, written as POSCAR:
```
Li2NbRh
1.0
0.000 2.967 2.967
2.967 0.000 2.967
2.967 2.967 0.000
Li Nb Rh
2 1 1
Direct
0.250 0.250 0.250
0.750 0.750 0.750
0.000 0.000 0.000
0.500 0.500 0.500
```

***

[18]
LiNbRh3 | meta-GGA SCAN | PBEsol geometry

Results
SG = Pm-3m, No. 221
Energy relative to the lowest polymorph listed for this composition = 0 meV per atom
ΔH_f (0 K) = 0.138 eV/atom
Crystal system = cubic

Cell and atoms, written as POSCAR:
```
LiNbRh3
1.0
4.066 0.000 0.000
0.000 4.066 0.000
0.000 0.000 4.066
Li Nb Rh
1 1 3
Direct
0.000 0.000 0.000
0.500 0.500 0.500
0.000 0.000 0.500
0.000 0.500 0.000
0.500 0.000 0.000
```

***

[19]
LiNbRh3 | meta-GGA SCAN | PBEsol geometry

Results
SG = Pm-3m, No. 221
Energy relative to the lowest polymorph listed for this composition = 665 meV per atom
ΔH_f (0 K) = 0.804 eV/atom
Crystal system = cubic

Cell and atoms, written as POSCAR:
```
LiNbRh3
1.0
4.687 0.000 0.000
0.000 4.687 0.000
0.000 0.000 4.687
Li Nb Rh
1 1 3
Direct
0.000 0.000 0.000
0.500 0.500 0.500
0.000 0.500 0.500
0.500 0.000 0.500
0.500 0.500 0.000
```

***

[20]
LiNbRh2 | meta-GGA SCAN | PBEsol geometry

Results
SG = Fm-3m, No. 225
ΔH_f (0 K) = -0.535 eV/atom
Crystal system = cubic

Cell and atoms, written as POSCAR:
```
LiNbRh2
1.0
0.000 3.038 3.038
3.038 0.000 3.038
3.038 3.038 0.000
Li Nb Rh
1 1 2
Direct
0.000 0.000 0.000
0.500 0.500 0.500
0.250 0.250 0.250
0.750 0.750 0.750
```

***

[21]
LiNb2S2 | meta-GGA SCAN | PBEsol geometry

Results
SG = I4/mmm, No. 139
Raw formation energy = -0.587 eV per atom
Crystal system = tetragonal

Cell and atoms, written as POSCAR:
```
LiNb2S2
1.0
-2.384 2.384 3.937
2.384 -2.384 3.937
2.384 2.384 -3.937
Li Nb S
1 2 2
Direct
0.000 0.000 0.000
0.352 0.352 0.000
0.648 0.648 0.000
0.250 0.750 0.500
0.750 0.250 0.500
```